Record 1
Compound: Ac2La6Dy5
Source: Alexandria
Functional: GGA-PBE
Structure: relaxed

The density of states at the Fermi level is 39.68 states/eV/cell. Its total energy is -4.56 eV per atom. For the energy of formation, the calculation gives 0.1138 eV/atom.

It has space group Pbam (No. 55), with a = 12.276 Å, b = 20.822 Å, c = 3.726 Å, α = 90.00°, β = 90.00° and γ = 90.00°. The distinct sites, in fractional coordinates, are Ac at (0.163, 0.220, 0.000), La at (0.046, 0.924, 0.000), La at (0.070, 0.637, 0.000), La at (0.187, 0.382, 0.500), Dy at (0.000, 0.500, 0.500), Dy at (0.097, 0.780, 0.500) and Dy at (0.210, 0.056, 0.500).

=====

Record 2
Compound: Ac4LaDy5
Source: Alexandria
Functional: GGA-PBE
Structure: relaxed

The density of states at the Fermi level is 35.13 states/eV/cell. Its total energy is -4.21 eV per atom. For the energy of formation, the calculation gives 0.2302 eV/atom.

It has space group C2/m (No. 12), with a = 16.333 Å, b = 5.844 Å, c = 10.583 Å, α = 90.00°, β = 129.25° and γ = 90.00°. The distinct sites, in fractional coordinates, are Ac at (0.246, 0.000, 0.378), Ac at (0.248, 0.500, 0.134), La at (0.000, 0.000, 0.500), Dy at (0.000, 0.500, 0.000), Dy at (0.052, 0.500, 0.710) and Dy at (0.054, 0.000, 0.902).

=====

Record 3
Compound: Ac4La2Dy
Source: Alexandria
Functional: GGA-PBE
Structure: relaxed

The density of states at the Fermi level is 26.58 states/eV/cell. Its total energy is -4.20 eV per atom. For the energy of formation, the calculation gives 0.2092 eV/atom.

It has space group Cmmm (No. 65), with a = 6.282 Å, b = 24.709 Å, c = 3.752 Å, α = 90.00°, β = 90.00° and γ = 90.00°. The distinct sites, in fractional coordinates, are Ac at (0.000, 0.078, 0.000), Ac at (0.000, 0.364, 0.500), La at (0.000, 0.216, 0.500) and Dy at (0.000, 0.500, 0.000).

=====

Record 4
Compound: Ac2La3Dy7
Source: Alexandria
Functional: GGA-PBE
Structure: relaxed

The density of states at the Fermi level is 19.03 states/eV/cell. Its total energy is -4.49 eV per atom. For the energy of formation, the calculation gives 0.1124 eV/atom.

It has space group P2/m (No. 10), with a = 6.500 Å, b = 3.638 Å, c = 18.016 Å, α = 90.00°, β = 96.85° and γ = 90.00°. The distinct sites, in fractional coordinates, are Ac at (0.046, 0.000, 0.176), La at (0.461, 0.500, 0.839), La at (0.500, 0.000, 0.500), Dy at (0.000, 0.500, 0.500), Dy at (0.228, 0.000, 0.661), Dy at (0.257, 0.000, 0.003) and Dy at (0.275, 0.500, 0.340).

=====

Record 5
Compound: AcLa6Dy8
Source: Alexandria
Functional: GGA-PBE
Structure: relaxed

The density of states at the Fermi level is 71.91 states/eV/cell. Its total energy is -4.57 eV per atom. For the energy of formation, the calculation gives 0.1294 eV/atom.

It has space group R-3 (No. 148, hexagonal axes), with a = 9.1565 Å, b = 9.1565 Å, c = 21.5654 Å, α = 90.00°, β = 90.00° and γ = 120.00°. The distinct sites, in fractional coordinates, are Ac at (0.0000, 0.0000, 0.0000), La at (0.0455, 0.2425, 0.7140), Dy at (0.0000, 0.0000, 0.4229) and Dy at (0.0783, 0.5720, 0.8057).

=====

Record 6
Compound: Ac5La2Dy2
Source: Alexandria
Functional: GGA-PBE
Structure: relaxed

The density of states at the Fermi level is 17.44 states/eV/cell. Its total energy is -4.35 eV per atom. For the energy of formation, the calculation gives 0.0473 eV/atom.

It has space group P-1 (No. 2), with a = 5.434 Å, b = 6.663 Å, c = 11.493 Å, α = 73.55°, β = 76.41° and γ = 65.96°. The distinct sites, in fractional coordinates, are Ac at (0.000, 0.000, 0.000), Ac at (0.334, 0.779, 0.554), Ac at (0.336, 0.441, 0.886), La at (0.002, 0.665, 0.331) and Dy at (0.331, 0.114, 0.225).

=====

Record 7
Compound: Ac2La2Dy
Source: Alexandria
Functional: GGA-PBE
Structure: relaxed

The density of states at the Fermi level is 17.10 states/eV/cell. The calculation puts the relative energy among the computed polymorphs at 66 meV/atom. Its total energy is -4.11 eV per atom. For the energy of formation, the calculation gives 0.4285 eV/atom.

It has space group I4/mmm (No. 139), with a = 4.983 Å, b = 4.983 Å, c = 16.785 Å, α = 90.00°, β = 90.00° and γ = 90.00°. The distinct sites, in fractional coordinates, are Ac at (0.000, 0.500, 0.250), La at (0.000, 0.000, 0.090) and Dy at (0.000, 0.000, 0.500).

=====

Record 8
Compound: Ac2LaDy
Source: Alexandria
Functional: GGA-PBE
Structure: relaxed

The density of states at the Fermi level is 7.48 states/eV/cell. The calculation puts the relative energy among the computed polymorphs at 11 meV/atom. Its total energy is -4.40 eV per atom. For the energy of formation, the calculation gives 0.0411 eV/atom.

It has space group P4/mmm (No. 123), with a = 3.859 Å, b = 3.859 Å, c = 10.558 Å, α = 90.00°, β = 90.00° and γ = 90.00°. The distinct sites, in fractional coordinates, are Ac at (0.000, 0.000, 0.242), La at (0.500, 0.500, 0.500) and Dy at (0.500, 0.500, 0.000).

=====

Which of these has the lowest energy of formation? Ac2LaDy